LiAcEr PBE optimized geometry; volume = 33.08 Å³ per atom; total energy = -3.37 eV/atom; DFT formation energy = 160 meV/atom
1.0
-2.1699 2.8388 -5.6421
0.6516 -5.9799 -2.8832
-3.6366 0.1818 4.2985
Li Ac Er
2 2 2
direct
0.5686 0.9286 0.2485 Li
0.4314 0.0714 0.7515 Li
0.0000 0.0000 0.0000 Ac
0.5000 0.5000 0.5000 Ac
0.9146 0.5879 0.2512 Er
0.0854 0.4121 0.7488 Er